# 1
The following is a GGA-PBE calculation of a relaxed structure of Nd6ThMg, from the Alexandria database.

Structure (extended XYZ):
```
8
Lattice="-0.0127 -0.8179 8.6753 4.8504 5.0368 5.1993 -5.5553 0.6473 -6.6820" Properties=species:S:1:pos:R:3 pbc="T T T"
Nd 0.2121 3.3344 0.8777
Nd 1.2746 1.1115 3.6554
Nd -2.2195 0.4070 2.6156
Nd -0.9296 1.5319 6.3150
Nd 1.5020 4.4593 4.5770
Nd 3.5632 3.1074 10.2192
Th 2.4189 2.1095 6.9373
Mg 0.0000 0.0000 0.0000
```

raw total energy = -4.618 eV per atom
space-group type = No. 139
energy relative to the elements = 0.08 eV/atom
polymorph energy (0 for the lowest one) = 57 meV/atom

=====

# 2
The following is a GGA-PBE calculation of a relaxed structure of NdTh2Mg, from the Alexandria database.

Structure (extended XYZ):
```
4
Lattice="-2.1264 2.0003 -1.7249 -1.7572 -1.2503 -2.6166 -10.6781 -2.9660 6.3913" Properties=species:S:1:pos:R:3 pbc="T T T"
Nd 0.0000 0.0000 0.0000
Th -8.1358 -2.0947 4.2676
Th -6.4259 -0.1214 -2.2178
Mg -7.2809 -1.1080 1.0249
```

raw total energy = -5.060 eV per atom
space-group type = No. 166
energy relative to the elements = 0.24 eV/atom
polymorph energy (0 for the lowest one) = 176 meV/atom

=====

# 3
The following is a GGA-PBE calculation of a relaxed structure of Nd3ThMg4, from the Alexandria database.

Structure (extended XYZ):
```
8
Lattice="3.8533 0.0000 0.0000 0.0000 5.4884 0.0000 0.0000 0.0000 10.9872" Properties=species:S:1:pos:R:3 pbc="T T T"
Mg 0.0000 2.7442 2.7537
Mg 0.0000 0.0000 5.4936
Mg 0.0000 0.0000 0.0000
Mg 0.0000 2.7442 8.2334
Th 1.9266 2.7442 0.0000
Nd 1.9266 0.0000 8.2847
Nd 1.9266 0.0000 2.7025
Nd 1.9266 2.7442 5.4936
```

raw total energy = -3.573 eV per atom
space-group type = No. 47
energy relative to the elements = -0.06 eV/atom

=====

# 4
The following is a GGA-PBE calculation of a relaxed structure of Nd2ThMg, from the Alexandria database.

Structure (extended XYZ):
```
4
Lattice="3.5962 0.0000 0.0000 1.7981 3.1144 0.0000 1.7981 1.0381 11.4906" Properties=species:S:1:pos:R:3 pbc="T T T"
Th 5.3943 3.1144 11.4829
Nd 1.7981 1.0381 8.6215
Nd 1.7981 1.0381 2.8715
Mg 3.5962 2.0763 5.7506
```

raw total energy = -4.607 eV per atom
space-group type = No. 160
energy relative to the elements = 0.03 eV/atom
polymorph energy (0 for the lowest one) = 78 meV/atom

=====

# 5
The following is a GGA-PBE calculation of a relaxed structure of NdThMg, from the Alexandria database.

Structure (extended XYZ):
```
3
Lattice="3.4996 0.0000 0.0000 0.0000 5.4991 0.0000 0.0000 -2.7495 4.7624" Properties=species:S:1:pos:R:3 pbc="T T T"
Mg 1.3072 0.0000 3.1749
Nd 2.0869 2.7496 1.5875
Th 0.1055 0.0000 0.0000
```

raw total energy = -4.461 eV per atom
space-group type = No. 156
energy relative to the elements = 0.13 eV/atom
polymorph energy (0 for the lowest one) = 161 meV/atom

=====

# 6
The following is a GGA-PBE calculation of a relaxed structure of NdTh2Mg, from the Alexandria database.

Structure (extended XYZ):
```
4
Lattice="-1.4315 -3.0292 -0.8965 0.2249 -2.7237 2.1354 -10.6376 1.3620 5.6743" Properties=species:S:1:pos:R:3 pbc="T T T"
Nd -0.8196 -3.8304 0.8338
Th -3.0413 -1.0720 1.7696
Th -7.9906 0.5139 4.3137
Mg -5.9147 -2.1978 3.4528
```

raw total energy = -5.188 eV per atom
space-group type = No. 160
energy relative to the elements = 0.11 eV/atom
polymorph energy (0 for the lowest one) = 48 meV/atom

=====

# 7
The following is a GGA-PBE calculation of a relaxed structure of Nd2ThMg, from the Alexandria database.

Structure (extended XYZ):
```
4
Lattice="3.6518 0.0000 0.0000 0.0000 3.6518 0.0000 0.0000 0.0000 9.4401" Properties=species:S:1:pos:R:3 pbc="T T T"
Th 1.8259 1.8259 4.7201
Mg 1.8259 1.8259 0.0000
Nd 0.0000 0.0000 2.2809
Nd 0.0000 0.0000 7.1592
```

raw total energy = -4.685 eV per atom
space-group type = No. 123
energy relative to the elements = -0.05 eV/atom
polymorph energy (0 for the lowest one) = 0 meV/atom

=====

# 8
The following is a GGA-PBE calculation of a relaxed structure of NdTh2Mg, from the Alexandria database.

Structure (extended XYZ):
```
4
Lattice="-3.3691 -3.8462 -2.2697 2.0393 -5.0077 -1.4355 -1.4282 -4.5464 2.9302" Properties=species:S:1:pos:R:3 pbc="T T T"
Mg -1.3790 -6.7002 -0.3875
Th -2.0686 -10.0502 -0.5812
Th -0.6895 -3.3501 -0.1937
Nd 0.0000 0.0000 0.0000
```

raw total energy = -5.120 eV per atom
space-group type = No. 225
energy relative to the elements = 0.18 eV/atom
polymorph energy (0 for the lowest one) = 116 meV/atom

=====

# 9
The following is a GGA-PBE calculation of a relaxed structure of NdThMg, from the Alexandria database.

Structure (extended XYZ):
```
3
Lattice="3.5863 0.0000 0.0000 0.0000 3.5863 0.0000 -1.7931 -1.7931 7.1969" Properties=species:S:1:pos:R:3 pbc="T T T"
Mg 1.7931 1.7931 2.4018
Th 0.0000 0.0000 4.7144
Nd 0.0000 0.0000 0.0807
```

raw total energy = -4.563 eV per atom
space-group type = No. 107
energy relative to the elements = 0.03 eV/atom
polymorph energy (0 for the lowest one) = 59 meV/atom

=====

# 10
The following is a GGA-PBE calculation of a relaxed structure of Nd2ThMg, from the Alexandria database.

Structure (extended XYZ):
```
4
Lattice="-0.4072 -0.8188 5.5633 -0.1660 -5.2402 2.0734 4.4001 -2.0329 2.8796" Properties=species:S:1:pos:R:3 pbc="T T T"
Nd 0.9567 -2.0230 2.6291
Nd 2.8702 -6.0689 7.8872
Mg 1.9135 -4.0459 5.2581
Th 0.0000 0.0000 0.0000
```

raw total energy = -4.495 eV per atom
space-group type = No. 225
energy relative to the elements = 0.14 eV/atom
polymorph energy (0 for the lowest one) = 190 meV/atom